DFT (GGA-PBE) results for CaIn2Hg10 after structural relaxation.

Lattice parameters (Å, degrees): 7.137 8.000 7.811 78.24 62.82 63.51
Fractional coordinates of all 13 atoms:
Hg  0.281  0.216  0.221
Hg  0.719  0.784  0.779
Hg  0.338  0.662  0.663
Hg  0.001  0.662  0.337
Hg  0.662  0.338  0.337
Hg  0.502  0.216  0.779
Hg  0.498  0.784  0.221
Hg  0.500  0.000  0.500
Hg  0.000  0.000  0.500
Hg  0.999  0.338  0.663
In  0.000  0.500  0.000
In  0.500  0.500  0.000
Ca  0.000  0.000  0.000

Summary:
As for the energy: -0.845 eV/atom.

=====

DFT (GGA-PBE) results for CdFeRu after structural relaxation.

Lattice parameters (Å, degrees): 7.048 6.850 2.753 82.66 74.55 22.80
Fractional coordinates of all 3 atoms:
Fe  0.323  0.323  0.677
Cd  0.998  0.998  0.002
Ru  0.679  0.679  0.321

Summary:
The calculation puts the energy above the most stable polymorph in this dataset at 139 meV per atom.

=====

Number 1: N(E_F) 4.1 states/eV/cell. Number 2: N(E_F) 3.1 states/eV/cell.